No. 1
{"formula": "Mn3FeS", "functional": "PBE", "state": "relaxed", "n_ef_per_ev_atom": 2.95, "vol_a3_per_atom": 12.922, "space_group": "Pm-3m, No. 221", "de_polymorph_mev_per_atom": 0, "e_tot_ry_per_atom": -0.53421, "lattice_angstrom": [[4.013, 0.000, 0.000], [0.000, 4.013, 0.000], [0.000, 0.000, 4.013]], "species": ["Mn", "Mn", "S", "Mn", "Fe"], "frac_coords": [[0.000, 0.000, 0.500], [0.000, 0.500, 0.000], [0.000, 0.000, 0.000], [0.500, 0.000, 0.000], [0.500, 0.500, 0.500]]}

No. 2
{"formula": "Mn3FeS6", "functional": "PBE", "state": "relaxed", "n_ef_per_ev_atom": 0.57, "vol_a3_per_atom": 16.505, "space_group": "P2_1/c, No. 14", "e_tot_ry_per_atom": -0.47513, "lattice_angstrom": [[6.143, 0.000, -0.063], [0.000, 5.787, 0.000], [-0.157, 0.000, 9.288]], "species": ["S", "Mn", "Fe", "S", "S", "Mn", "Mn", "S", "S", "S", "Mn", "S", "Fe", "S", "Mn", "S", "S", "Mn", "S", "S"], "frac_coords": [[0.351, 0.847, 0.440], [0.000, 0.000, 0.500], [0.000, 0.000, 0.000], [0.149, 0.347, 0.060], [0.943, 0.890, 0.241], [0.233, 0.618, 0.250], [0.500, 0.500, 0.000], [0.057, 0.110, 0.759], [0.649, 0.153, 0.560], [0.660, 0.144, 0.938], [0.767, 0.382, 0.750], [0.160, 0.356, 0.438], [0.500, 0.500, 0.500], [0.443, 0.610, 0.741], [0.733, 0.882, 0.750], [0.557, 0.390, 0.259], [0.840, 0.644, 0.562], [0.267, 0.118, 0.250], [0.851, 0.653, 0.940], [0.340, 0.856, 0.062]]}

No. 3
{"formula": "Mn3FeS", "functional": "PBE", "state": "relaxed", "n_ef_per_ev_atom": 1.00, "vol_a3_per_atom": 16.927, "space_group": "Pm-3m, No. 221", "de_polymorph_mev_per_atom": 200, "e_tot_ry_per_atom": -0.51948, "lattice_angstrom": [[-4.022, 1.072, 1.396], [-1.759, -2.534, -3.124], [0.043, -3.421, 2.751]], "species": ["Mn", "Mn", "S", "Mn", "Fe"], "frac_coords": [[0.500, 0.000, 0.000], [0.000, 0.000, 0.500], [0.500, 0.500, 0.500], [0.000, 0.500, 0.000], [0.000, 0.000, 0.000]]}

No. 4
{"formula": "Mn4FeS5", "functional": "PBE", "state": "relaxed", "n_ef_per_ev_atom": 0.45, "vol_a3_per_atom": 16.493, "space_group": "R-3m, No. 166", "de_polymorph_mev_per_atom": 0, "e_tot_ry_per_atom": -0.51626, "lattice_angstrom": [[14.832, -1.794, 0.012], [14.832, 1.794, 0.012], [14.613, 0.000, 3.111]], "species": ["S", "Mn", "Mn", "S", "Mn", "Fe", "S", "S", "Mn", "S"], "frac_coords": [[0.099, 0.099, 0.099], [0.201, 0.201, 0.201], [0.399, 0.399, 0.399], [0.699, 0.699, 0.699], [0.601, 0.601, 0.601], [0.000, 0.000, 0.000], [0.901, 0.901, 0.901], [0.500, 0.500, 0.500], [0.799, 0.799, 0.799], [0.301, 0.301, 0.301]]}